HoCuPt3 | Alexandria | PBE | optimized geometry; volume = 17.568 Å³ per atom; polymorph energy (0 for the lowest one) = 3 meV per atom; energy = -5.945 eV per atom; formation enthalpy at 0 K = -0.586 eV/atom; space group = No. 59; total moment = 0.000 μB/atom
1.0
4.433 0.000 0.000
0.000 6.460 0.000
0.000 0.000 6.134
Pt Cu Ho
6 2 2
Direct
0.000 0.701 0.278
0.500 0.799 0.722
0.500 0.201 0.722
0.000 0.000 0.952
0.000 0.299 0.278
0.500 0.500 0.048
0.500 0.500 0.448
0.000 0.000 0.552
0.500 0.000 0.238
0.000 0.500 0.762

La7Y3Mg | Alexandria | PBE | optimized geometry; volume = 36.427 Å³ per atom; energy = -4.829 eV per atom; formation enthalpy at 0 K = 0.215 eV/atom; space group = No. 12; total moment = 0.000 μB/atom
1.0
6.569 0.279 -0.385
-0.376 7.808 0.306
0.370 0.570 7.794
La Y Mg
7 3 1
Direct
0.730 0.446 0.100
0.795 0.757 0.757
0.270 0.554 0.900
0.270 0.900 0.554
0.730 0.100 0.446
0.205 0.243 0.243
0.000 0.500 0.500
0.000 0.837 0.163
0.500 0.000 0.000
0.000 0.163 0.837
0.500 0.500 0.500

CaTaP | Alexandria | PBE | optimized geometry; volume = 20.642 Å³ per atom; energy = -6.355 eV per atom; formation enthalpy at 0 K = 0.067 eV/atom; space group = No. 216; total moment = 0.496 μB/atom
1.0
-0.076 4.434 -0.235
-2.432 2.335 2.890
2.001 2.425 3.137
Ca Ta P
1 1 1
Direct
0.500 0.500 0.500
0.000 0.000 0.000
0.750 0.750 0.750

Question: Which formula does entry 1 have?
Answer: HoCuPt3

Question: Which of these has the highest formation enthalpy at 0 K?
Answer: La7Y3Mg